Li2Ni2S3O12: optimized geometry, PBE+U.

```
Li2Ni2S3O12
1.0
6.480 -4.282 0.000
6.480 4.282 0.000
-3.838 0.000 7.851
Li Ni S O
4 4 6 24
direct
0.136 0.322 0.048
0.322 0.136 0.548
0.678 0.864 0.452
0.864 0.678 0.952
0.128 0.628 0.482
0.372 0.872 0.018
0.628 0.128 0.982
0.872 0.372 0.518
0.059 0.941 0.250
0.251 0.460 0.822
0.460 0.251 0.322
0.540 0.749 0.678
0.749 0.540 0.178
0.941 0.059 0.750
0.047 0.129 0.387
0.095 0.782 0.320
0.124 0.502 0.929
0.129 0.047 0.887
0.133 0.457 0.637
0.218 0.905 0.180
0.258 0.385 0.310
0.355 0.603 0.883
0.385 0.258 0.810
0.397 0.645 0.617
0.457 0.133 0.137
0.498 0.876 0.571
0.502 0.124 0.429
0.543 0.867 0.863
0.603 0.355 0.383
0.615 0.742 0.190
0.645 0.397 0.117
0.742 0.615 0.690
0.782 0.095 0.820
0.867 0.543 0.363
0.871 0.953 0.113
0.876 0.498 0.071
0.905 0.218 0.680
0.953 0.871 0.613
```

The space-group type is C2/c. Its total magnetic moment is 8.1 Bohr magnetons per cell. Its energy is -219.46 eV/cell. The calculation puts the density of states at the Fermi level at 0.00 states/eV/cell.